! NiIr2Os, optimized geometry, DFT GGA-PBE; values from VASP
! M_tot   0.00 μB/f.u.
! Energy relative to the lowest polymorph listed for this composition   0.089 eV/atom
! Space group   Cmmm, No. 65
! DOS at the Fermi energy   5.4 states/eV/f.u.
&SYSTEM
  ibrav = 0, nat = 4, ntyp = 3
/
ATOMIC_SPECIES
Ni 58.69 Ni.upf
Ir 192.22 Ir.upf
Os 190.23 Os.upf
CELL_PARAMETERS angstrom
2.693 -3.778 0.000
2.693 3.778 0.000
0.000 0.000 2.708
ATOMIC_POSITIONS crystal
Ni 0.000 0.000 0.000
Ir 0.000 0.500 0.500
Ir 0.500 0.000 0.500
Os 0.500 0.500 0.000